A geometry-optimized CoSnSO structure. Source: OQMD via LeMat-Bulk, functional GGA+U.

Results
As for the density: 5.6 g/cm3. The distance to the lowest polymorph of the same formula is 0.464 eV per formula unit. Its calculated total energy is -41.0 eV for the cell shown.

Lattice parameters (Å, degrees): 4.031 4.031 8.238 90.00 90.00 90.00
Atoms (fractional coordinates):
Co 0.250 0.250 0.452
Co 0.750 0.750 0.548
O 0.750 0.250 0.500
O 0.250 0.750 0.500
S 0.250 0.250 0.146
S 0.750 0.750 0.854
Sn 0.750 0.750 0.181
Sn 0.250 0.250 0.819